1.
Below is a relaxed TbBAs crystal, with properties calculated at the PBE-GGA level.

```
data_TbBAs
_cell_length_a 11.502
_cell_length_b 3.205
_cell_length_c 6.089
_cell_angle_alpha 90.00
_cell_angle_beta 90.31
_cell_angle_gamma 90.00
_symmetry_space_group_name_H-M 'C 1 2/m 1'
_symmetry_Int_Tables_number 12
_symmetry_space_group_name_Hall '-C 2y'
loop_
_atom_site_label
_atom_site_type_symbol
_atom_site_fract_x
_atom_site_fract_y
_atom_site_fract_z
_atom_site_occupancy
Tb1 Tb 0.116 0.000 0.294 1
B1 B 0.221 0.500 0.988 1
As1 As 0.105 0.500 0.718 1
```

## Properties
electronic total energy	-5.825	eV per atom
DOS(E_F)	0.48	states/eV/atom

***

2.
Below is a relaxed Tc2BAs crystal, with properties calculated at the PBE-GGA level.

```
data_Tc2BAs
_cell_length_a 5.844
_cell_length_b 5.844
_cell_length_c 5.844
_cell_angle_alpha 90.00
_cell_angle_beta 90.00
_cell_angle_gamma 90.00
_symmetry_space_group_name_H-M 'F m -3 m'
_symmetry_Int_Tables_number 225
_symmetry_space_group_name_Hall '-F 4 2 3'
loop_
_atom_site_label
_atom_site_type_symbol
_atom_site_fract_x
_atom_site_fract_y
_atom_site_fract_z
_atom_site_occupancy
Tc1 Tc 0.250 0.250 0.250 1
B1 B 0.000 0.000 0.000 1
As1 As 0.000 0.000 0.500 1
```

## Properties
energy relative to the lowest polymorph listed for this composition	6.9	kJ per mole of atoms
DOS(E_F)	0.90	states/eV/atom

***

3.
Below is a relaxed TcB3As crystal, with properties calculated at the PBE-GGA level.

```
data_TcB3As
_cell_length_a 4.134
_cell_length_b 4.134
_cell_length_c 4.134
_cell_angle_alpha 90.00
_cell_angle_beta 90.00
_cell_angle_gamma 90.00
_symmetry_space_group_name_H-M 'P m -3 m'
_symmetry_Int_Tables_number 221
_symmetry_space_group_name_Hall '-P 4 2 3'
loop_
_atom_site_label
_atom_site_type_symbol
_atom_site_fract_x
_atom_site_fract_y
_atom_site_fract_z
_atom_site_occupancy
Tc1 Tc 0.000 0.000 0.000 1
B1 B 0.000 0.000 0.500 1
As1 As 0.500 0.500 0.500 1
```

## Properties
energy relative to the lowest polymorph listed for this composition	0.0	kJ per mole of atoms
DOS(E_F)	0.75	states/eV/atom

***

4.
Below is a relaxed TcB3As crystal, with properties calculated at the PBE-GGA level.

```
data_TcB3As
_cell_length_a 3.990
_cell_length_b 3.990
_cell_length_c 3.990
_cell_angle_alpha 90.00
_cell_angle_beta 90.00
_cell_angle_gamma 90.00
_symmetry_space_group_name_H-M 'P m -3 m'
_symmetry_Int_Tables_number 221
_symmetry_space_group_name_Hall '-P 4 2 3'
loop_
_atom_site_label
_atom_site_type_symbol
_atom_site_fract_x
_atom_site_fract_y
_atom_site_fract_z
_atom_site_occupancy
Tc1 Tc 0.000 0.000 0.000 1
B1 B 0.000 0.500 0.500 1
As1 As 0.500 0.500 0.500 1
```

## Properties
energy relative to the lowest polymorph listed for this composition	71.8	kJ per mole of atoms
DOS(E_F)	1.10	states/eV/atom

***

Number 2 is which compound?
Tc2BAs

***

Please write out number 1 again, unchanged.
Below is a relaxed TbBAs crystal, with properties calculated at the PBE-GGA level.

```
data_TbBAs
_cell_length_a 11.502
_cell_length_b 3.205
_cell_length_c 6.089
_cell_angle_alpha 90.00
_cell_angle_beta 90.31
_cell_angle_gamma 90.00
_symmetry_space_group_name_H-M 'C 1 2/m 1'
_symmetry_Int_Tables_number 12
_symmetry_space_group_name_Hall '-C 2y'
loop_
_atom_site_label
_atom_site_type_symbol
_atom_site_fract_x
_atom_site_fract_y
_atom_site_fract_z
_atom_site_occupancy
Tb1 Tb 0.116 0.000 0.294 1
B1 B 0.221 0.500 0.988 1
As1 As 0.105 0.500 0.718 1
```

## Properties
electronic total energy	-5.825	eV per atom
DOS(E_F)	0.48	states/eV/atom